CrHgTe2N | PBE-GGA | optimized geometry

Cell and atoms, written as CIF:
```
data_CrHgTe2N
_chemical_formula_sum 'Cr1 Hg1 Te2 N1'
_symmetry_space_group_name_H-M 'P 1'
_symmetry_Int_Tables_number 1
_cell_length_a 5.6707
_cell_length_b 5.6707
_cell_length_c 3.9952
_cell_angle_alpha 90.00
_cell_angle_beta 90.00
_cell_angle_gamma 90.00
loop_
_symmetry_equiv_pos_as_xyz
'x,y,z'
loop_
_atom_site_label
_atom_site_type_symbol
_atom_site_fract_x
_atom_site_fract_y
_atom_site_fract_z
Te1 Te 0.5000 0.0000 0.0000
Te2 Te 0.0000 0.5000 0.0000
Hg1 Hg 0.0000 0.0000 0.0000
N1 N 0.0000 0.0000 0.5000
Cr1 Cr 0.5000 0.5000 0.5000
```

Crystal system = tetragonal
Symmetry = P4/mmm (123)
ΔE_f (raw) = 1831 meV/atom
Total magnetic moment = 0.068 μB per atom